No. 1
A plane-wave DFT calculation with PBE was carried out for a relaxed structure of Ho8Hg3CS3.

- space-group type = C2/m
- formation energy without anion corrections (meV/atom) = -989

```
15
Lattice="6.579 -3.797 0.000 6.579 3.797 0.000 -4.392 0.000 7.564" Properties=species:S:1:pos:R:3 pbc="T T T"
Ho -0.215 0.000 5.272
Ho 3.390 2.083 5.270
Ho 5.375 2.083 2.293
Ho 2.189 0.000 2.198
Ho 6.577 0.000 5.366
Ho 3.390 -2.083 5.270
Ho 5.375 -2.083 2.293
Ho 8.980 0.000 2.291
Hg 0.000 0.000 0.000
Hg 3.289 1.899 0.000
Hg 3.289 -1.899 0.000
C -2.196 0.000 3.782
S 1.093 1.899 3.782
S 1.093 -1.899 3.782
S 4.383 0.000 3.782
```

=====

No. 2
A plane-wave DFT calculation with PBE was carried out for a relaxed structure of Ho4HgSbC.

- space-group type = Cmcm
- formation energy without anion corrections (meV/atom) = -606

```
14
Lattice="3.392 -7.715 0.000 3.392 7.715 0.000 0.000 0.000 6.762" Properties=species:S:1:pos:R:3 pbc="T T T"
Ho 1.696 3.858 0.000
Ho 1.696 3.858 3.381
Ho 3.392 6.414 5.071
Ho 3.392 1.408 5.071
Ho 1.696 -3.858 0.000
Ho 1.696 -3.858 3.381
Ho 3.392 -1.408 1.690
Ho 3.392 -6.414 1.690
Hg 3.392 5.953 1.690
Hg 3.392 -5.953 5.071
Sb 3.392 1.703 1.690
Sb 3.392 -1.703 5.071
C 3.392 3.859 5.071
C 3.392 -3.859 1.690
```

=====

No. 3
A plane-wave DFT calculation with PBE was carried out for a relaxed structure of HoSc2HgC.

- space-group type = P4/mmm
- energy relative to the elements (eV/atom) = -0.49

```
5
Lattice="4.540 0.000 0.000 0.000 4.540 0.000 0.000 0.000 4.905" Properties=species:S:1:pos:R:3 pbc="T T T"
Ho 0.000 0.000 0.000
Sc 0.000 2.270 2.452
Sc 2.270 0.000 2.452
Hg 2.270 2.270 0.000
C 0.000 0.000 2.452
```

=====

No. 4
A plane-wave DFT calculation with PBE was carried out for a relaxed structure of Ho2ScHgC.

- space-group type = P4/mmm
- energy relative to the elements (eV/atom) = -0.46

```
5
Lattice="4.941 0.000 0.000 0.000 4.941 0.000 0.000 0.000 4.441" Properties=species:S:1:pos:R:3 pbc="T T T"
Ho 0.000 2.471 0.000
Ho 2.471 0.000 0.000
Sc 0.000 0.000 2.220
Hg 2.471 2.471 2.220
C 0.000 0.000 0.000
```

=====

No. 5
A plane-wave DFT calculation with PBE was carried out for a relaxed structure of Ho8Hg3CSe3.

- space-group type = R-3m
- formation energy without anion corrections (meV/atom) = -882

```
15
Lattice="3.927 2.267 7.521 -3.927 2.267 7.521 0.000 -4.535 7.521" Properties=species:S:1:pos:R:3 pbc="T T T"
Ho 0.000 0.000 5.460
Ho -1.702 -0.983 12.812
Ho 0.000 -1.965 9.751
Ho -1.702 0.983 9.751
Ho 1.702 -0.983 12.812
Ho 0.000 1.965 12.812
Ho 1.702 0.983 9.751
Ho 0.000 0.000 17.102
Hg -1.964 -1.134 7.521
Hg -1.964 1.134 15.042
Hg 0.000 2.267 7.521
C 0.000 0.000 11.281
Se -3.927 0.000 11.281
Se -1.964 1.134 3.760
Se 1.964 1.134 3.760
```

=====

No. 6
A plane-wave DFT calculation with PBE was carried out for a relaxed structure of SmHo2HgC.

- space-group type = P4/mmm
- energy relative to the elements (eV/atom) = -0.34

```
5
Lattice="4.857 0.000 0.000 0.000 4.857 0.000 0.000 0.000 5.079" Properties=species:S:1:pos:R:3 pbc="T T T"
Sm 0.000 0.000 0.000
Ho 0.000 2.429 2.539
Ho 2.429 0.000 2.539
Hg 2.429 2.429 0.000
C 0.000 0.000 2.539
```

=====

No. 7
A plane-wave DFT calculation with PBE was carried out for a relaxed structure of Sm2HoHgC.

- space-group type = P4/mmm
- energy relative to the elements (eV/atom) = -0.30

```
5
Lattice="5.068 0.000 0.000 0.000 5.068 0.000 0.000 0.000 4.817" Properties=species:S:1:pos:R:3 pbc="T T T"
Sm 0.000 2.534 0.000
Sm 2.534 0.000 0.000
Ho 0.000 0.000 2.408
Hg 2.534 2.534 2.408
C 0.000 0.000 0.000
```

=====

No. 8
A plane-wave DFT calculation with PBE was carried out for a relaxed structure of Ho4SnHgC.

- space-group type = Cmcm
- energy relative to the elements (eV/atom) = -0.50

```
14
Lattice="3.441 -7.550 0.000 3.441 7.550 0.000 0.000 0.000 6.862" Properties=species:S:1:pos:R:3 pbc="T T T"
Ho 1.720 3.775 0.000
Ho 1.720 3.775 3.431
Ho 3.441 6.292 5.147
Ho 3.441 1.345 5.147
Ho 1.720 -3.775 0.000
Ho 1.720 -3.775 3.431
Ho 3.441 -1.345 1.716
Ho 3.441 -6.292 1.716
Sn 3.441 1.751 1.716
Sn 3.441 -1.751 5.147
Hg 3.441 5.797 1.716
Hg 3.441 -5.797 5.147
C 3.441 3.787 5.147
C 3.441 -3.787 1.716
```

=====

No. 9
A plane-wave DFT calculation with PBE was carried out for a relaxed structure of TbHoHgC.

- space-group type = R3m
- energy relative to the elements (eV/atom) = -0.38

```
4
Lattice="1.800 1.039 7.865 -1.800 1.039 7.865 0.000 -2.078 7.865" Properties=species:S:1:pos:R:3 pbc="T T T"
Tb 0.000 0.000 0.000
Ho 0.000 0.000 18.439
Hg 0.000 0.000 5.243
C 0.000 0.000 9.217
```

=====

No. 10
A plane-wave DFT calculation with PBE was carried out for a relaxed structure of HoTh2HgC.

- space-group type = P4/mmm
- energy relative to the elements (eV/atom) = -0.29

```
5
Lattice="5.065 0.000 0.000 0.000 5.065 0.000 0.000 0.000 4.913" Properties=species:S:1:pos:R:3 pbc="T T T"
Ho 0.000 0.000 0.000
Th 0.000 2.532 2.457
Th 2.532 0.000 2.457
Hg 2.532 2.532 0.000
C 0.000 0.000 2.457
```

=====

No. 11
A plane-wave DFT calculation with PBE was carried out for a relaxed structure of Ho2ThHgC.

- space-group type = P4/mmm
- energy relative to the elements (eV/atom) = -0.35

```
5
Lattice="4.900 0.000 0.000 0.000 4.900 0.000 0.000 0.000 5.036" Properties=species:S:1:pos:R:3 pbc="T T T"
Ho 0.000 2.450 0.000
Ho 2.450 0.000 0.000
Th 0.000 0.000 2.518
Hg 2.450 2.450 2.518
C 0.000 0.000 0.000
```

=====

No. 12
A plane-wave DFT calculation with PBE was carried out for a relaxed structure of Ho4TlHgC.

- space-group type = Cmcm
- energy relative to the elements (eV/atom) = -0.35

```
14
Lattice="3.462 -7.462 0.000 3.462 7.462 0.000 0.000 0.000 6.930" Properties=species:S:1:pos:R:3 pbc="T T T"
Ho 1.731 3.731 0.000
Ho 1.731 3.731 3.465
Ho 3.462 6.217 5.198
Ho 3.462 1.294 5.198
Ho 1.731 -3.731 0.000
Ho 1.731 -3.731 3.465
Ho 3.462 -1.294 1.733
Ho 3.462 -6.217 1.733
Tl 3.462 1.755 1.733
Tl 3.462 -1.755 5.198
Hg 3.462 5.687 1.733
Hg 3.462 -5.687 5.198
C 3.462 3.751 5.198
C 3.462 -3.751 1.733
```

=====

Computed M_tot, in the same sequence as the records: 0.0; 0.0; 0.0; 0.0; 0.0; 0.0; 0.0; 0.0; 0.0; 0.0; 0.0; 0.0 μB per formula unit.